{"formula": "ErZrPa2", "functional": "PBE", "state": "relaxed", "volume_a3_per_cell": 102.4, "formation_enthalpy_0k_ev_per_atom": 0.131, "relative_energy_kcal_per_mol_atoms": 0.00, "m_tot_mub_per_cell": 0.00, "lattice_angstrom": [[1.6245, 0.9379, 11.1985], [-1.6245, 0.9379, 11.1985], [0.0000, -1.8758, 11.1985]], "species": ["Er", "Zr", "Pa", "Pa"], "frac_coords": [[0.0000, 0.0000, 0.0000], [0.8341, 0.8341, 0.8341], [0.2484, 0.2484, 0.2484], [0.4195, 0.4195, 0.4195]]}